ReTc2Au: relaxed, PBE-GGA.

Properties
The value obtained for the density of states at the Fermi level is 3.48 states/eV/f.u. As for the energy: -8.520 eV per atom. Its magnetization is 0.00 Bohr magnetons per cell. The mass density is 15.4 Mg/m³. Its energy above the most stable polymorph in this dataset is 424 meV/atom.

```
data_ReTc2Au
_chemical_formula_sum 'Re4 Tc8 Au4'
_space_group_name_H-M_alt 'F -4 3 m'
_space_group_IT_number 216
_space_group_name_Hall 'F -4 2 3'
_cell_length_a 6.293
_cell_length_b 6.293
_cell_length_c 6.293
_cell_angle_alpha 90.00
_cell_angle_beta 90.00
_cell_angle_gamma 90.00
loop_
_atom_site_label
_atom_site_fract_x
_atom_site_fract_y
_atom_site_fract_z
Re1 0.000 0.000 0.000
Tc1 0.000 0.000 0.500
Tc2 0.250 0.250 0.750
Au1 0.250 0.250 0.250
```